## Y4Sb3Mo2N3 (PBE-GGA)

Data for Y4Sb3Mo2N3 after structural relaxation.

Cell and atoms, written as POSCAR:
```
Y4Sb3Mo2N3
1.0
5.327 -3.082 0.000
5.327 3.082 0.000
-3.338 0.000 13.536
Sb Mo N Y
6 4 6 8
direct
0.127 0.873 0.250
0.712 0.581 0.253
0.873 0.127 0.750
0.419 0.288 0.247
0.581 0.712 0.753
0.288 0.419 0.747
0.613 0.477 0.927
0.523 0.387 0.573
0.477 0.613 0.427
0.387 0.523 0.073
0.161 0.669 0.500
0.500 0.000 0.500
0.000 0.500 0.000
0.669 0.161 0.000
0.839 0.331 0.500
0.331 0.839 0.000
0.299 0.147 0.909
0.853 0.701 0.591
0.796 0.978 0.409
0.978 0.796 0.909
0.147 0.299 0.409
0.701 0.853 0.091
0.022 0.204 0.091
0.204 0.022 0.591
```

Properties
- Size of the total moment: 0.00 μB/atom
- Space group: No. 15
- E: -7.86 eV per atom

=====

## Si2Ni3Sn2 (PBE-GGA)

Data for Si2Ni3Sn2 after structural relaxation.

Cell and atoms, written as POSCAR:
```
Si2Ni3Sn2
1.0
5.038 -1.117 6.430
7.435 -1.463 3.247
6.466 2.160 4.636
Ni Sn Si
3 2 2
direct
0.112 0.112 0.112
0.608 0.608 0.608
0.395 0.395 0.395
0.505 0.505 0.505
0.997 0.997 0.997
0.254 0.254 0.254
0.754 0.754 0.754
```

Properties
- Size of the total moment: 0.00 μB/atom
- Space group: No. 160
- E: -5.22 eV per atom

=====

## Sc6Al16Pd7 (PBE-GGA)

Data for Sc6Al16Pd7 after structural relaxation.

Cell and atoms, written as POSCAR:
```
Sc6Al16Pd7
1.0
6.725 1.758 5.422
-0.702 4.270 -7.680
-5.693 1.684 6.516
Al Sc Pd
16 6 7
direct
0.336 0.329 0.664
0.121 0.241 0.362
0.664 0.671 0.336
0.007 0.671 0.336
0.336 0.671 0.664
0.879 0.759 0.638
0.664 0.329 0.993
0.879 0.241 0.121
0.121 0.759 0.879
0.336 0.671 0.007
0.121 0.241 0.879
0.362 0.241 0.121
0.664 0.329 0.336
0.993 0.329 0.664
0.879 0.759 0.121
0.638 0.759 0.879
0.691 0.000 0.691
0.309 0.618 0.309
0.309 0.000 0.691
0.691 0.000 0.309
0.309 0.000 0.309
0.691 0.382 0.691
0.500 0.500 0.000
0.500 0.000 0.000
0.500 0.500 0.500
0.000 0.500 0.500
0.000 0.500 0.000
0.000 0.000 0.000
0.000 0.000 0.500
```

Properties
- Size of the total moment: 0.00 μB/atom
- Space group: No. 225
- E: -5.36 eV per atom

=====

## HoLuNO (PBE-GGA)

Data for HoLuNO after structural relaxation.

Cell and atoms, written as POSCAR:
```
HoLuNO
1.0
6.507 0.000 0.000
0.000 7.917 0.000
0.000 0.000 4.810
O Ho Lu N
4 4 4 4
direct
0.593 0.360 0.551
0.093 0.640 0.551
0.907 0.360 0.051
0.407 0.640 0.051
0.933 0.377 0.551
0.067 0.623 0.051
0.433 0.623 0.551
0.567 0.377 0.051
0.915 0.875 0.550
0.415 0.125 0.550
0.585 0.875 0.050
0.085 0.125 0.050
0.926 0.879 0.050
0.574 0.879 0.550
0.426 0.121 0.050
0.074 0.121 0.550
```

Properties
- Size of the total moment: 0.00 μB/atom
- Space group: No. 57
- Polymorph energy (0 for the lowest one): 0.088 eV/atom

=====

## ZrPb2F8 (PBE-GGA)

Data for ZrPb2F8 after structural relaxation.

Cell and atoms, written as POSCAR:
```
ZrPb2F8
1.0
-2.594 2.594 5.795
2.594 -2.594 5.795
2.594 2.594 -5.795
F Pb Zr
8 2 1
direct
0.131 0.619 0.848
0.042 0.374 0.105
0.270 0.937 0.895
0.381 0.229 0.512
0.771 0.283 0.152
0.626 0.730 0.668
0.063 0.958 0.332
0.717 0.869 0.488
0.667 0.667 0.000
0.333 0.333 0.000
0.000 0.000 0.000
```

Properties
- Size of the total moment: 0.00 μB/atom
- Space group: No. 82
- Polymorph energy (0 for the lowest one): 0.035 eV/atom

=====

## HfCoGe (PBE-GGA)

Data for HfCoGe after structural relaxation.

Cell and atoms, written as POSCAR:
```
HfCoGe
1.0
-2.224 2.794 -1.995
1.134 -3.444 -1.894
-5.397 -2.873 1.993
Ge Co Hf
2 2 2
direct
0.667 0.333 0.965
0.333 0.667 0.465
0.333 0.667 0.051
0.667 0.333 0.551
0.000 0.000 0.734
0.000 0.000 0.234
```

Properties
- Size of the total moment: 0.02 μB/atom
- Space group: No. 186
- E: -7.84 eV per atom

=====

## NpNbTe (PBE-GGA)

Data for NpNbTe after structural relaxation.

Cell and atoms, written as POSCAR:
```
NpNbTe
1.0
0.220 -0.435 4.702
-2.761 2.674 2.752
-3.593 -1.963 2.363
Te Np Nb
1 1 1
direct
0.750 0.750 0.750
0.250 0.250 0.250
0.000 0.000 0.000
```

Properties
- Size of the total moment: 1.36 μB/atom
- Space group: No. 216
- Polymorph energy (0 for the lowest one): 0.000 eV/atom

=====

## HfBNO (PBE-GGA)

Data for HfBNO after structural relaxation.

Cell and atoms, written as POSCAR:
```
HfBNO
1.0
-1.408 -2.439 0.000
0.000 0.000 5.484
-4.742 2.738 0.000
Hf N B O
2 2 2 2
direct
0.000 0.039 0.713
0.000 0.539 0.287
0.000 0.437 0.653
0.000 0.937 0.347
0.500 0.890 0.229
0.500 0.390 0.771
0.500 0.888 0.966
0.500 0.388 0.034
```

Properties
- Size of the total moment: 0.00 μB/atom
- Space group: No. 26
- Polymorph energy (0 for the lowest one): 0.000 eV/atom

=====

## CsZrAu3Se4 (PBE-GGA)

Data for CsZrAu3Se4 after structural relaxation.

Cell and atoms, written as POSCAR:
```
CsZrAu3Se4
1.0
-6.179 -1.477 1.635
-0.340 -4.172 -5.052
2.177 -4.843 3.853
Se Zr Cs Au
4 1 1 3
direct
0.722 0.722 0.278
0.722 0.278 0.722
0.278 0.278 0.278
0.278 0.722 0.722
0.500 0.500 0.500
0.000 0.000 0.000
0.000 0.500 0.500
0.500 0.000 0.500
0.500 0.500 0.000
```

Properties
- Size of the total moment: 0.00 μB/atom
- Space group: No. 215
- Polymorph energy (0 for the lowest one): 0.057 eV/atom

=====

## LiTc2Ge2 (PBE-GGA)

Data for LiTc2Ge2 after structural relaxation.

Cell and atoms, written as POSCAR:
```
LiTc2Ge2
1.0
-1.965 1.965 5.544
1.965 -1.965 5.544
1.965 1.965 -5.544
Ge Tc Li
2 2 1
direct
0.609 0.609 0.000
0.391 0.391 0.000
0.250 0.750 0.500
0.750 0.250 0.500
0.000 0.000 0.000
```

Properties
- Size of the total moment: 0.15 μB/atom
- Space group: No. 139
- E: -6.37 eV per atom

=====

## Cu4B (PBE-GGA)

Data for Cu4B after structural relaxation.

Cell and atoms, written as POSCAR:
```
Cu4B
1.0
-1.251 2.355 -2.418
-2.595 0.978 2.295
5.187 6.105 3.261
Cu B
8 2
direct
0.500 0.000 0.504
0.000 0.000 0.285
0.500 0.500 0.715
0.000 0.500 0.496
0.500 0.500 0.000
0.000 0.000 0.000
0.500 0.500 0.285
0.000 0.000 0.715
0.500 0.000 0.851
0.000 0.500 0.149
```

Properties
- Space group: No. 129
- E: -4.10 eV per atom

=====

## Dy2Sb (PBE-GGA)

Data for Dy2Sb after structural relaxation.

Cell and atoms, written as POSCAR:
```
Dy2Sb
1.0
6.681 0.000 0.000
0.000 4.821 0.000
0.000 0.000 10.200
Sb Dy
4 8
direct
0.186 0.750 0.375
0.814 0.250 0.625
0.686 0.750 0.125
0.314 0.250 0.875
0.416 0.250 0.213
0.084 0.750 0.713
0.162 0.750 0.052
0.662 0.750 0.448
0.338 0.250 0.552
0.584 0.750 0.787
0.916 0.250 0.287
0.838 0.250 0.948
```

Properties
- Size of the total moment: 0.00 μB/atom
- Space group: No. 62
- E: -5.17 eV per atom

=====

## ZnCdRe3 (PBE-GGA)

Data for ZnCdRe3 after structural relaxation.

Cell and atoms, written as POSCAR:
```
ZnCdRe3
1.0
-0.572 1.743 -4.713
-3.843 -2.333 2.317
-3.157 8.823 3.647
Re Zn Cd
6 2 2
direct
0.000 0.500 0.726
0.500 0.000 0.726
0.000 0.500 0.274
0.500 0.000 0.274
0.500 0.500 0.274
0.500 0.500 0.726
0.667 0.333 0.500
0.333 0.667 0.500
0.000 0.000 0.144
0.000 0.000 0.856
```

Properties
- ΔE_f: 1.069 eV/atom
- Size of the total moment: 0.00 μB/atom
- Space group: No. 191

=====

## ZrTlPd2 (PBE-GGA)

Data for ZrTlPd2 after structural relaxation.

Cell and atoms, written as POSCAR:
```
ZrTlPd2
1.0
0.000 3.329 3.329
3.329 0.000 3.329
3.329 3.329 0.000
Pd Zr Tl
2 1 1
direct
0.000 0.000 0.000
0.750 0.750 0.750
0.250 0.250 0.250
0.500 0.500 0.500
```

Properties
- Size of the total moment: 0.00 μB/atom
- Space group: No. 216
- E: -5.64 eV per atom

=====

## Tb3In3Ni2Pd (PBE-GGA)

Data for Tb3In3Ni2Pd after structural relaxation.

Cell and atoms, written as POSCAR:
```
Tb3In3Ni2Pd
1.0
-2.425 -7.149 0.424
7.383 1.450 -0.744
0.365 0.103 3.824
In Ni Tb Pd
3 2 3 1
direct
0.264 0.000 0.500
0.000 0.264 0.500
0.736 0.736 0.500
0.667 0.333 0.500
0.333 0.667 0.500
0.412 0.412 0.000
0.000 0.588 0.000
0.588 0.000 0.000
0.000 0.000 0.000
```

Properties
- Size of the total moment: 0.00 μB/atom
- Space group: No. 189
- E: -4.86 eV per atom

=====

## H5AuC5IN (PBE-GGA)

Data for H5AuC5IN after structural relaxation.

Cell and atoms, written as POSCAR:
```
H5AuC5IN
1.0
-2.134 -1.166 6.716
13.622 0.588 4.430
-1.322 14.636 2.122
C I Au H N
40 8 8 40 8
direct
0.752 0.542 0.281
0.934 0.682 0.273
0.752 0.542 0.719
0.234 0.465 0.188
0.734 0.035 0.688
0.434 0.818 0.773
0.164 0.383 0.325
0.556 0.171 0.681
0.664 0.117 0.825
0.566 0.182 0.227
0.944 0.671 0.819
0.766 0.535 0.188
0.164 0.383 0.675
0.336 0.883 0.175
0.266 0.965 0.312
0.556 0.171 0.319
0.248 0.458 0.719
0.252 0.958 0.781
0.336 0.883 0.825
0.944 0.671 0.181
0.934 0.682 0.727
0.056 0.329 0.819
0.766 0.535 0.812
0.566 0.182 0.773
0.248 0.458 0.281
0.434 0.818 0.227
0.836 0.617 0.675
0.234 0.465 0.812
0.266 0.965 0.688
0.066 0.318 0.727
0.252 0.958 0.219
0.066 0.318 0.273
0.664 0.117 0.175
0.836 0.617 0.325
0.748 0.042 0.781
0.444 0.829 0.681
0.056 0.329 0.181
0.444 0.829 0.319
0.734 0.035 0.312
0.748 0.042 0.219
0.665 0.350 0.000
0.616 0.385 0.500
0.335 0.650 0.000
0.384 0.615 0.500
0.884 0.885 0.000
0.835 0.850 0.500
0.116 0.115 0.000
0.165 0.150 0.500
0.134 0.407 0.000
0.880 0.262 0.500
0.866 0.593 0.000
0.620 0.762 0.000
0.366 0.907 0.500
0.634 0.093 0.500
0.120 0.738 0.500
0.380 0.238 0.000
0.482 0.220 0.637
0.323 0.511 0.319
0.823 0.989 0.819
0.823 0.989 0.181
0.677 0.489 0.681
0.798 0.978 0.350
0.702 0.478 0.150
0.177 0.011 0.819
0.173 0.376 0.398
0.018 0.720 0.137
0.798 0.978 0.650
0.002 0.742 0.305
0.327 0.876 0.102
0.327 0.876 0.898
0.673 0.124 0.102
0.173 0.376 0.602
0.298 0.522 0.150
0.702 0.478 0.850
0.177 0.011 0.181
0.482 0.220 0.363
0.498 0.242 0.195
0.498 0.242 0.805
0.002 0.742 0.695
0.998 0.258 0.305
0.827 0.624 0.602
0.502 0.758 0.805
0.982 0.280 0.863
0.502 0.758 0.195
0.298 0.522 0.850
0.323 0.511 0.681
0.518 0.780 0.637
0.018 0.720 0.863
0.202 0.022 0.350
0.202 0.022 0.650
0.982 0.280 0.137
0.677 0.489 0.319
0.518 0.780 0.363
0.827 0.624 0.398
0.673 0.124 0.898
0.998 0.258 0.695
0.139 0.402 0.139
0.861 0.598 0.861
0.861 0.598 0.139
0.361 0.902 0.361
0.139 0.402 0.861
0.361 0.902 0.639
0.639 0.098 0.361
0.639 0.098 0.639
```

Properties
- Space group: No. 58
- E: -5.88 eV per atom

=====

## Ag2Au2IOF (PBE-GGA)

Data for Ag2Au2IOF after structural relaxation.

Cell and atoms, written as POSCAR:
```
Ag2Au2IOF
1.0
4.929 0.000 0.000
0.000 8.691 0.000
-0.351 0.000 6.885
Ag Au O I F
4 4 2 2 2
direct
0.117 0.467 0.748
0.907 0.965 0.848
0.883 0.967 0.252
0.093 0.465 0.152
0.698 0.334 0.398
0.815 0.676 0.392
0.185 0.176 0.608
0.302 0.834 0.602
0.988 0.699 0.673
0.012 0.199 0.327
0.392 0.214 0.960
0.608 0.714 0.040
0.623 0.981 0.551
0.377 0.481 0.449
```

Properties
- Space group: No. 4
- E: -3.16 eV per atom